(1)
Entry from Alexandria via LeMat-Bulk: a geometry-optimized AgAu3F structure (PBEsol).

POSCAR file:
```
AgAu3F
1.0
4.980 0.000 0.000
0.000 4.980 0.000
0.000 0.000 4.980
Ag Au F
1 3 1
Direct
0.000 0.000 0.000
0.000 0.000 0.500
0.000 0.500 0.000
0.500 0.000 0.000
0.500 0.500 0.500
```

Computed properties:
space group: Pm-3m (221)
formation energy (no corrections): 4.69 eV per formula unit
total energy: -0.18110 Ry per atom
density of states at the Fermi level: 0.45 states/eV per atom

(2)
Entry from Alexandria via LeMat-Bulk: a geometry-optimized Ag2AuF structure (PBEsol).

POSCAR file:
```
Ag2AuF
1.0
0.000 3.145 3.145
3.145 0.000 3.145
3.145 3.145 0.000
Ag Au F
2 1 1
Direct
0.250 0.250 0.250
0.750 0.750 0.750
0.000 0.000 0.000
0.500 0.500 0.500
```

Computed properties:
space group: Fm-3m (225)
formation energy (no corrections): -1.11 eV per formula unit
total energy: -0.24959 Ry per atom
density of states at the Fermi level: 0.26 states/eV per atom

(3)
Entry from Alexandria via LeMat-Bulk: a geometry-optimized K2AgAuF6 structure (PBEsol).

POSCAR file:
```
K2AgAuF6
1.0
0.000 4.351 4.351
4.351 0.000 4.351
4.351 4.351 0.000
K Ag Au F
2 1 1 6
Direct
0.250 0.250 0.250
0.750 0.750 0.750
0.000 0.000 0.000
0.500 0.500 0.500
0.251 0.251 0.749
0.251 0.749 0.251
0.251 0.749 0.749
0.749 0.251 0.251
0.749 0.251 0.749
0.749 0.749 0.251
```

Computed properties:
space group: Fm-3m (225)
formation energy (no corrections): -17.39 eV per formula unit
total energy: -0.28268 Ry per atom
density of states at the Fermi level: 0.25 states/eV per atom

(4)
Entry from Alexandria via LeMat-Bulk: a geometry-optimized Rb2AgAuF6 structure (PBEsol).

POSCAR file:
```
Rb2AgAuF6
1.0
0.000 4.376 4.376
4.376 0.000 4.376
4.376 4.376 0.000
Rb Ag Au F
2 1 1 6
Direct
0.250 0.250 0.250
0.750 0.750 0.750
0.000 0.000 0.000
0.500 0.500 0.500
0.251 0.251 0.749
0.251 0.749 0.251
0.251 0.749 0.749
0.749 0.251 0.251
0.749 0.251 0.749
0.749 0.749 0.251
```

Computed properties:
space group: Fm-3m (225)
formation energy (no corrections): -17.63 eV per formula unit
total energy: -0.28286 Ry per atom
density of states at the Fermi level: 0.26 states/eV per atom

(5)
Entry from Alexandria via LeMat-Bulk: a geometry-optimized FeAgAu2 structure (PBEsol).

POSCAR file:
```
FeAgAu2
1.0
-1.401 2.366 4.767
1.401 -2.366 4.767
1.401 2.366 -4.767
Fe Ag Au
1 1 2
Direct
0.000 0.000 0.000
0.243 0.743 0.500
0.506 0.506 0.000
0.768 0.268 0.500
```

Computed properties:
space group: Imm2 (44)
E above lowest polymorph: 46 meV per atom
total energy: -0.35552 Ry per atom
density of states at the Fermi level: 0.75 states/eV per atom
ΔH_f (0 K): 0.194 eV per atom

(6)
Entry from Alexandria via LeMat-Bulk: a geometry-optimized FeAg2Au structure (PBEsol).

POSCAR file:
```
FeAg2Au
1.0
-1.402 2.341 4.756
1.402 -2.341 4.756
1.402 2.341 -4.756
Fe Ag Au
1 2 1
Direct
0.000 0.000 0.000
0.240 0.740 0.500
0.760 0.260 0.500
0.500 0.500 0.000
```

Computed properties:
space group: Immm (71)
E above lowest polymorph: 0 meV per atom
total energy: -0.34063 Ry per atom
density of states at the Fermi level: 0.82 states/eV per atom
ΔH_f (0 K): 0.243 eV per atom